Rb2Fe2Cu, relaxed, DFT PBE; ΔH_f (0 K) = 1.0812 eV/atom; energy = -17.55 eV/cell; size of the total moment = 5.72 Bohr magnetons per cell; E above lowest polymorph = 0.0000 eV per atom
1.0
-6.178 2.659 -0.777
-2.029 -3.052 5.693
-3.115 2.649 4.336
Cu Rb Fe
1 2 2
Direct
0.000 0.000 0.000
0.750 0.250 0.500
0.250 0.750 0.500
0.352 0.352 0.296
0.648 0.648 0.704

=====

RbFeCu3, relaxed, DFT PBE; ΔH_f (0 K) = 0.7889 eV/atom; energy = -17.77 eV/cell; size of the total moment = 3.11 Bohr magnetons per cell; E above lowest polymorph = 0.0000 eV per atom
1.0
-1.729 -3.506 2.757
3.042 -3.089 -2.020
3.261 1.024 3.346
Cu Rb Fe
3 1 1
Direct
0.000 0.500 0.000
0.000 0.000 0.500
0.500 0.000 0.000
0.500 0.500 0.500
0.000 0.000 0.000

=====

RbFe2Cu, relaxed, DFT PBE; ΔH_f (0 K) = 1.5134 eV/atom; energy = -15.94 eV/cell; size of the total moment = 5.80 Bohr magnetons per cell; E above lowest polymorph = 0.4461 eV per atom
1.0
0.000 3.334 3.334
3.334 0.000 3.334
3.334 3.334 0.000
Cu Rb Fe
1 1 2
Direct
0.000 0.000 0.000
0.500 0.500 0.500
0.250 0.250 0.250
0.750 0.750 0.750

=====

RbFe2CuSe4, relaxed, DFT PBE; energy = -36.72 eV/cell; size of the total moment = 6.67 Bohr magnetons per cell; raw formation energy = -0.0996 eV/atom
1.0
-3.068 2.655 -3.130
-5.921 -3.378 -1.257
-4.606 3.789 3.533
Rb Fe Cu Se
1 2 1 4
Direct
0.000 0.000 0.000
0.121 0.379 0.379
0.879 0.621 0.621
0.500 0.500 0.500
0.454 0.157 0.543
0.154 0.843 0.457
0.846 0.543 0.157
0.546 0.457 0.843

=====

Rb2FeCuSe, relaxed, DFT PBE; energy = -15.99 eV/cell; size of the total moment = 3.14 Bohr magnetons per cell; raw formation energy = 0.3969 eV/atom
1.0
6.687 0.000 0.000
0.000 4.442 0.000
0.000 0.000 6.687
Cu Se Rb Fe
1 1 2 1
Direct
0.000 0.000 0.000
0.000 0.500 0.000
0.000 0.000 0.500
0.500 0.000 0.000
0.500 0.500 0.500

=====

FeCuRe2, relaxed, DFT PBE; ΔH_f (0 K) = 0.1596 eV/atom; energy = -36.82 eV/cell; size of the total moment = 0.00 Bohr magnetons per cell; E above lowest polymorph = 0.0000 eV per atom
1.0
-3.565 -2.349 0.055
0.477 -0.666 2.520
-2.398 3.671 1.424
Cu Fe Re
1 1 2
Direct
0.000 0.625 0.469
0.500 0.625 0.781
0.000 0.125 0.959
0.500 0.125 0.292